(1)
The following is a PBE calculation of a relaxed NdZnNi crystal, from Alexandria via LeMat-Bulk.

Lattice parameters (Å, degrees): 3.841 4.270 4.270 120.00 90.00 90.00
Fractional coordinates of all 3 atoms:
Nd (0.667, 0.333, 0.667)
Zn (0.167, 0.667, 0.333)
Ni (0.167, 0.000, 0.000)

## Properties
density	7.35	g cm⁻³
energy of formation from the pure elements	-0.3385	eV/atom
DOS at the Fermi energy	2.7	states/eV per cell
VASP energy	-12.8	eV for the cell shown

=====

(2)
The following is a PBE calculation of a relaxed Nd4Zn5Ni2 crystal, from Alexandria via LeMat-Bulk.

Lattice parameters (Å, degrees): 3.824 7.063 9.014 94.54 90.00 90.00
Fractional coordinates of all 11 atoms:
Zn (0.000, 0.500, 0.000)
Zn (0.000, 0.561, 0.300)
Zn (0.000, 0.196, 0.158)
Zn (0.000, 0.439, 0.700)
Zn (0.000, 0.804, 0.842)
Ni (0.000, 0.064, 0.635)
Ni (0.000, 0.936, 0.365)
Nd (0.500, 0.753, 0.560)
Nd (0.500, 0.829, 0.138)
Nd (0.500, 0.247, 0.440)
Nd (0.500, 0.171, 0.862)

## Properties
density	6.99	g cm⁻³
energy of formation from the pure elements	-0.2922	eV/atom
DOS at the Fermi energy	7.5	states/eV per cell
VASP energy	-40.2	eV for the cell shown

=====

(3)
The following is a PBE calculation of a relaxed Nd2Zn2Ni crystal, from Alexandria via LeMat-Bulk.

Lattice parameters (Å, degrees): 3.933 5.916 10.535 87.66 79.24 70.58
Fractional coordinates of all 10 atoms:
Nd (0.912, 0.295, 0.882)
Nd (0.290, 0.777, 0.643)
Nd (0.710, 0.223, 0.357)
Nd (0.088, 0.705, 0.118)
Zn (0.374, 0.136, 0.116)
Zn (0.040, 0.334, 0.586)
Zn (0.626, 0.864, 0.884)
Zn (0.960, 0.666, 0.414)
Ni (0.580, 0.150, 0.690)
Ni (0.420, 0.850, 0.310)

## Properties
density	6.99	g cm⁻³
energy of formation from the pure elements	-0.3186	eV/atom
DOS at the Fermi energy	8.6	states/eV per cell
VASP energy	-38.9	eV for the cell shown

=====

(4)
The following is a PBE calculation of a relaxed Nd4ZnNi crystal, from Alexandria via LeMat-Bulk.

Lattice parameters (Å, degrees): 7.078 7.250 7.071 90.00 95.43 90.00
Fractional coordinates of all 12 atoms:
Nd (0.623, 0.152, 0.827)
Nd (0.123, 0.348, 0.827)
Nd (0.187, 0.836, 0.656)
Nd (0.687, 0.664, 0.656)
Nd (0.877, 0.652, 0.173)
Nd (0.377, 0.848, 0.173)
Nd (0.813, 0.164, 0.344)
Nd (0.313, 0.336, 0.344)
Ni (0.500, 0.000, 0.500)
Ni (0.000, 0.500, 0.500)
Zn (0.000, 0.000, 0.000)
Zn (0.500, 0.500, 0.000)

## Properties
density	6.45	g cm⁻³
relative energy among the computed polymorphs	138	meV per atom
energy of formation from the pure elements	-0.0679	eV/atom
DOS at the Fermi energy	17.5	states/eV per cell
VASP energy	-53.1	eV for the cell shown

=====

(5)
The following is a PBE calculation of a relaxed NdZn7Ni5 crystal, from Alexandria via LeMat-Bulk.

Lattice parameters (Å, degrees): 5.035 6.568 6.568 81.82 67.46 67.46
Fractional coordinates of all 13 atoms:
Zn (0.989, 0.360, 0.663)
Zn (0.352, 0.648, 0.648)
Zn (0.270, 0.230, 0.230)
Zn (0.502, 0.215, 0.781)
Zn (0.502, 0.781, 0.215)
Zn (0.662, 0.338, 0.338)
Zn (0.989, 0.663, 0.360)
Ni (0.726, 0.774, 0.774)
Ni (0.497, 0.002, 0.502)
Ni (0.000, 0.002, 0.502)
Ni (0.497, 0.502, 0.002)
Ni (0.000, 0.502, 0.002)
Nd (0.015, 0.985, 0.985)

## Properties
density	8.02	g cm⁻³
energy of formation from the pure elements	-0.2810	eV/atom
DOS at the Fermi energy	6.4	states/eV per cell
VASP energy	-46.2	eV for the cell shown

=====

(6)
The following is a PBE calculation of a relaxed NdZnNi crystal, from Alexandria via LeMat-Bulk.

Lattice parameters (Å, degrees): 4.521 4.521 4.521 60.00 60.00 60.00
Fractional coordinates of all 3 atoms:
Ni (0.250, 0.250, 0.250)
Zn (0.000, 0.000, 0.000)
Nd (0.500, 0.500, 0.500)

## Properties
density	6.82	g cm⁻³
energy of formation from the pure elements	-0.2007	eV/atom
DOS at the Fermi energy	2.8	states/eV per cell
VASP energy	-12.4	eV for the cell shown

=====

(7)
The following is a PBE calculation of a relaxed Nd8ZnNi2 crystal, from Alexandria via LeMat-Bulk.

Lattice parameters (Å, degrees): 5.647 8.083 8.083 115.74 98.39 98.39
Fractional coordinates of all 11 atoms:
Nd (0.000, 0.244, 0.764)
Nd (0.813, 0.617, 0.617)
Nd (0.000, 0.764, 0.244)
Nd (0.186, 0.389, 0.389)
Nd (0.573, 0.087, 0.339)
Nd (0.427, 0.919, 0.668)
Nd (0.573, 0.339, 0.087)
Nd (0.427, 0.668, 0.919)
Zn (0.003, 0.003, 0.003)
Ni (0.499, 0.706, 0.299)
Ni (0.499, 0.299, 0.706)

## Properties
density	6.95	g cm⁻³
relative energy among the computed polymorphs	100	meV per atom
energy of formation from the pure elements	-0.0454	eV/atom
DOS at the Fermi energy	13.7	states/eV per cell
VASP energy	-51.5	eV for the cell shown

=====

(8)
The following is a PBE calculation of a relaxed Nd2ZnNi3 crystal, from Alexandria via LeMat-Bulk.

Lattice parameters (Å, degrees): 3.967 3.998 7.897 104.66 104.55 90.00
Fractional coordinates of all 6 atoms:
Ni (0.549, 0.549, 0.098)
Ni (0.708, 0.708, 0.416)
Ni (0.292, 0.792, 0.584)
Nd (0.864, 0.364, 0.728)
Nd (0.129, 0.129, 0.259)
Zn (0.458, 0.958, 0.915)

## Properties
density	7.52	g cm⁻³
relative energy among the computed polymorphs	0	meV per atom
energy of formation from the pure elements	-0.3415	eV/atom
DOS at the Fermi energy	3.6	states/eV per cell
VASP energy	-30.2	eV for the cell shown

=====

(9)
The following is a PBE calculation of a relaxed NdZn2Ni2 crystal, from Alexandria via LeMat-Bulk.

Lattice parameters (Å, degrees): 4.059 4.679 5.262 107.69 112.69 90.00
Fractional coordinates of all 5 atoms:
Ni (0.733, 0.139, 0.466)
Ni (0.267, 0.861, 0.534)
Zn (0.647, 0.578, 0.295)
Zn (0.353, 0.422, 0.705)
Nd (0.000, 0.000, 0.000)

## Properties
density	7.49	g cm⁻³
relative energy among the computed polymorphs	0	meV per atom
energy of formation from the pure elements	-0.3034	eV/atom
DOS at the Fermi energy	3.3	states/eV per cell
VASP energy	-20.4	eV for the cell shown

=====

(10)
The following is a PBE calculation of a relaxed Nd3Zn8Ni3 crystal, from Alexandria via LeMat-Bulk.

Lattice parameters (Å, degrees): 4.274 8.121 8.121 70.54 74.74 74.74
Fractional coordinates of all 14 atoms:
Zn (0.169, 0.474, 0.187)
Zn (0.614, 0.101, 0.670)
Zn (0.386, 0.899, 0.330)
Zn (0.386, 0.330, 0.899)
Zn (0.831, 0.813, 0.526)
Zn (0.614, 0.670, 0.101)
Zn (0.831, 0.526, 0.813)
Zn (0.169, 0.187, 0.474)
Ni (0.000, 0.212, 0.788)
Ni (0.500, 0.000, 0.000)
Ni (0.000, 0.788, 0.212)
Nd (0.178, 0.822, 0.822)
Nd (0.500, 0.500, 0.500)
Nd (0.822, 0.178, 0.178)

## Properties
density	7.47	g cm⁻³
energy of formation from the pure elements	-0.3177	eV/atom
DOS at the Fermi energy	10.7	states/eV per cell
VASP energy	-46.3	eV for the cell shown

=====

(11)
The following is a PBE calculation of a relaxed Nd3Zn3Ni crystal, from Alexandria via LeMat-Bulk.

Lattice parameters (Å, degrees): 4.514 3.751 10.058 100.75 102.97 90.00
Fractional coordinates of all 7 atoms:
Nd (0.691, 0.191, 0.382)
Nd (0.994, 0.994, 0.988)
Nd (0.320, 0.820, 0.640)
Ni (0.431, 0.431, 0.862)
Zn (0.137, 0.637, 0.274)
Zn (0.562, 0.562, 0.123)
Zn (0.866, 0.366, 0.732)

## Properties
density	7.01	g cm⁻³
energy of formation from the pure elements	-0.3119	eV/atom
DOS at the Fermi energy	5.3	states/eV per cell
VASP energy	-26.1	eV for the cell shown

=====

(12)
The following is a PBE calculation of a relaxed Nd6Zn2Ni crystal, from Alexandria via LeMat-Bulk.

Lattice parameters (Å, degrees): 6.312 9.464 8.617 90.00 79.59 90.00
Fractional coordinates of all 18 atoms:
Nd (0.098, 0.320, 0.046)
Nd (0.598, 0.180, 0.546)
Nd (0.093, 0.318, 0.483)
Nd (0.402, 0.820, 0.454)
Nd (0.593, 0.182, 0.983)
Nd (0.907, 0.682, 0.517)
Nd (0.889, 0.972, 0.215)
Nd (0.611, 0.472, 0.285)
Nd (0.389, 0.528, 0.715)
Nd (0.111, 0.028, 0.785)
Nd (0.407, 0.818, 0.017)
Nd (0.902, 0.680, 0.954)
Zn (0.167, 0.589, 0.218)
Zn (0.667, 0.911, 0.718)
Zn (0.833, 0.411, 0.782)
Zn (0.333, 0.089, 0.282)
Ni (0.500, 0.500, 0.000)
Ni (0.000, 0.000, 0.500)

## Properties
density	6.92	g cm⁻³
energy of formation from the pure elements	-0.1311	eV/atom
DOS at the Fermi energy	21.1	states/eV per cell
VASP energy	-76.2	eV for the cell shown